Below is a relaxed Mg2ZrCrFe crystal, with properties calculated at the PBE-GGA level.

extended XYZ file:
```
5
Lattice="-2.264 2.496 -4.046 -1.514 -3.787 -1.489 -4.385 0.634 2.845" Properties=species:S:1:pos:R:3 pbc="T T T"
Cr -4.081 -0.329 -1.345
Mg -2.192 0.317 1.422
Mg -1.132 1.248 -2.023
Fe -0.757 -1.894 -0.745
Zr 0.000 0.000 0.000
```

Its formation energy is 1.8776 eV per atom. The calculation puts the total DFT energy (no corrections) at -0.1502 hartree per atom. Its space group is P4/mmm, No. 123. The spin magnetization comes out at 0.96 μB/cell.



Below is a relaxed Mn2CrFe2 crystal, with properties calculated at the PBE-GGA level.

extended XYZ file:
```
10
Lattice="6.674 0.000 0.000 0.000 6.674 0.000 0.000 0.000 2.488" Properties=species:S:1:pos:R:3 pbc="T T T"
Cr 0.000 0.000 0.000
Cr 3.337 3.337 0.000
Mn 1.142 4.479 1.244
Mn 4.479 5.532 1.244
Mn 5.532 2.195 1.244
Mn 2.195 1.142 1.244
Fe 2.501 5.838 0.000
Fe 5.838 4.173 0.000
Fe 4.173 0.836 0.000
Fe 0.836 2.501 0.000
```

The excess energy over the best structure of this formula in the dataset comes out at 0 meV per atom. Its formation energy is 0.2229 eV per atom. The calculation puts the total DFT energy (no corrections) at -0.3217 hartree per atom. Its space group is P4/mbm, No. 127. The spin magnetization comes out at 0.38 μB/cell.



Below is a relaxed MnCr2Fe5 crystal, with properties calculated at the PBE-GGA level.

extended XYZ file:
```
8
Lattice="-2.047 -3.184 1.499 4.484 -2.157 1.543 -0.413 2.427 4.591" Properties=species:S:1:pos:R:3 pbc="T T T"
Mn 0.000 0.000 0.000
Cr 1.218 -2.670 1.521
Cr -1.230 -0.378 3.045
Fe 2.886 0.191 4.348
Fe 1.013 1.092 3.704
Fe 3.058 -0.823 2.431
Fe -1.024 -1.592 0.749
Fe 1.185 0.078 1.786
```

Its formation energy is 1.0042 eV per atom. The calculation puts the total DFT energy (no corrections) at -0.2880 hartree per atom. Its space group is P4/mmm, No. 123. The spin magnetization comes out at 11.70 μB/cell.



Below is a relaxed Mn4CrFe3 crystal, with properties calculated at the PBE-GGA level.

extended XYZ file:
```
8
Lattice="-1.354 -3.076 -3.243 1.751 -4.133 1.943 -5.192 3.581 0.035" Properties=species:S:1:pos:R:3 pbc="T T T"
Cr -0.081 -4.239 -1.320
Mn -2.811 -3.723 -1.891
Mn -2.543 -1.174 -0.713
Mn 0.170 -1.642 -0.154
Mn -4.170 -0.179 0.792
Fe -3.674 -1.664 -2.845
Fe -4.397 -2.725 -0.313
Fe -1.679 -3.233 0.241
```

Its formation energy is 0.1084 eV per atom. The calculation puts the total DFT energy (no corrections) at -0.3253 hartree per atom. Its space group is P-1, No. 2. The spin magnetization comes out at 10.27 μB/cell.



Below is a relaxed MnCr2Fe crystal, with properties calculated at the PBE-GGA level.

extended XYZ file:
```
8
Lattice="-5.850 2.378 -0.026 -1.179 -2.839 5.517 -2.715 1.750 3.935" Properties=species:S:1:pos:R:3 pbc="T T T"
Cr -4.504 1.578 1.657
Cr -2.125 -1.048 4.429
Cr -4.668 1.150 4.990
Cr -8.191 0.899 7.776
Mn -3.515 -0.230 2.745
Mn -3.704 -0.660 6.099
Fe 0.000 0.000 0.000
Fe -6.040 1.949 3.327
```

The excess energy over the best structure of this formula in the dataset comes out at 580 meV per atom. Its formation energy is 0.6394 eV per atom. The calculation puts the total DFT energy (no corrections) at -0.3153 hartree per atom. Its space group is I-42d, No. 122. The spin magnetization comes out at 3.85 μB/cell.



Below is a relaxed MnCr4Fe crystal, with properties calculated at the PBE-GGA level.

extended XYZ file:
```
12
Lattice="-3.745 -0.888 -4.952 3.702 1.769 0.302 3.115 -6.708 1.110" Properties=species:S:1:pos:R:3 pbc="T T T"
Mn 1.692 -0.913 -1.393
Mn 1.380 -4.914 -2.148
Cr 0.034 -6.635 -3.657
Cr 3.765 -5.299 -1.047
Cr 2.728 -3.214 -0.644
Cr 0.344 -2.614 -2.896
Cr 4.063 -1.283 -0.291
Cr -0.693 -0.528 -2.494
Cr -0.991 -4.544 -3.250
Cr 3.038 0.807 0.117
Fe 5.112 -3.603 0.475
Fe -2.040 -2.225 -4.016
```

The excess energy over the best structure of this formula in the dataset comes out at 41 meV per atom. Its formation energy is 0.2839 eV per atom. The calculation puts the total DFT energy (no corrections) at -0.3333 hartree per atom. Its space group is Cmcm, No. 63. The spin magnetization comes out at 7.12 μB/cell.